Entry 1:
GGA-PBE Zr4PdS, relaxed; raw formation energy = -0.46 eV/atom; total magnetic moment = 0.0 μB/f.u.; DOS at the Fermi energy = 1.060 states/eV/atom; V = 22.23 Å³/atom
1.0
7.324 0.000 0.000
0.000 5.566 0.000
-3.179 0.000 6.544
Zr Pd S
8 2 2
Direct
0.157 0.238 0.324
0.157 0.262 0.824
0.291 0.700 0.131
0.291 0.800 0.631
0.709 0.200 0.369
0.709 0.300 0.869
0.843 0.738 0.176
0.843 0.762 0.676
0.500 0.000 0.000
0.500 0.500 0.500
0.000 0.000 0.000
0.000 0.500 0.500

Entry 2:
GGA-PBE LiLa4Tc, relaxed; ΔE_f = -0.008 eV/atom; energy relative to the lowest polymorph listed for this composition = 0.0 meV/atom; total magnetic moment = 0.0 μB/f.u.; DOS at the Fermi energy = 1.057 states/eV/atom; V = 31.05 Å³/atom
1.0
4.667 -6.594 0.000
4.667 6.594 0.000
-2.125 0.000 6.053
Li La Tc
2 8 2
Direct
0.124 0.876 0.750
0.876 0.124 0.250
0.135 0.299 0.875
0.228 0.564 0.445
0.299 0.135 0.375
0.436 0.772 0.055
0.564 0.228 0.945
0.701 0.865 0.625
0.772 0.436 0.555
0.865 0.701 0.125
0.499 0.501 0.750
0.501 0.499 0.250

Entry 3:
GGA-PBE PuThZnCo, relaxed; ΔE_f = -0.014 eV/atom; total magnetic moment = 4.8 μB/f.u.; DOS at the Fermi energy = 1.820 states/eV/atom; V = 21.58 Å³/atom
1.0
0.000 3.508 3.508
3.508 0.000 3.508
3.508 3.508 0.000
Pu Th Zn Co
1 1 1 1
Direct
0.000 0.000 0.000
0.500 0.500 0.500
0.250 0.250 0.250
0.750 0.750 0.750

Entry 4:
GGA-PBE In3W, relaxed; ΔE_f = 0.525 eV/atom; energy relative to the lowest polymorph listed for this composition = 53.5 meV/atom; total magnetic moment = 0.0 μB/f.u.; DOS at the Fermi energy = 0.551 states/eV/atom; V = 21.00 Å³/atom
1.0
5.363 -1.505 0.000
5.363 1.505 0.000
-0.677 0.000 5.205
In W
3 1
Direct
0.000 0.000 0.000
0.234 0.234 0.735
0.766 0.766 0.265
0.500 0.500 0.500

Entry 5:
GGA-PBE Y3Os, relaxed; ΔE_f = 0.335 eV/atom; total magnetic moment = 0.0 μB/f.u.; DOS at the Fermi energy = 1.432 states/eV/atom; V = 24.07 Å³/atom
1.0
5.011 2.893 1.107
-5.011 2.893 1.107
0.000 -5.786 1.107
Y Os
3 1
Direct
0.000 0.500 0.500
0.500 0.000 0.500
0.500 0.500 0.000
0.000 0.000 0.000

Entry 6:
GGA-PBE LiCrOs2, relaxed; ΔE_f = 0.302 eV/atom; energy relative to the lowest polymorph listed for this composition = 193.7 meV/atom; total magnetic moment = 0.0 μB/f.u.; DOS at the Fermi energy = 0.887 states/eV/atom; V = 13.35 Å³/atom
1.0
4.595 -1.341 0.000
4.595 1.341 0.000
-1.002 0.000 4.335
Li Cr Os
1 1 2
Direct
0.000 0.000 0.000
0.763 0.763 0.233
0.237 0.237 0.714
0.495 0.495 0.499

Entry 7:
GGA-PBE Tb2PrEr5Tm, relaxed; ΔE_f = 0.287 eV/atom; total magnetic moment = 0.0 μB/f.u.; DOS at the Fermi energy = 1.226 states/eV/atom; V = 32.12 Å³/atom
1.0
-4.448 4.448 7.304
4.448 -4.448 7.304
4.448 4.448 -7.304
Tb Pr Er Tm
4 2 10 2
Direct
0.113 0.613 0.726
0.387 0.113 0.500
0.613 0.887 0.500
0.887 0.387 0.274
0.250 0.250 0.000
0.750 0.750 0.000
0.000 0.000 0.000
0.073 0.162 0.500
0.162 0.662 0.088
0.338 0.427 0.500
0.427 0.927 0.088
0.500 0.500 0.000
0.573 0.073 0.912
0.662 0.573 0.500
0.838 0.338 0.912
0.927 0.838 0.500
0.250 0.750 0.500
0.750 0.250 0.500

Entry 8:
GGA-PBE CaPmPb4, relaxed; ΔE_f = -0.243 eV/atom; energy relative to the lowest polymorph listed for this composition = 26.1 meV/atom; total magnetic moment = 0.0 μB/f.u.; DOS at the Fermi energy = 0.392 states/eV/atom; V = 33.87 Å³/atom
1.0
6.128 0.000 0.000
0.000 4.624 0.000
-2.656 0.000 7.172
Ca Pm Pb
1 1 4
Direct
0.000 0.000 0.000
0.500 0.500 0.500
0.069 0.500 0.714
0.428 0.000 0.781
0.572 0.000 0.219
0.931 0.500 0.286